Entry from the Alexandria database: a relaxed TbEr2Hg8 crystal (GGA-PBE).

## Properties
VASP energy = -1.773 eV/atom
formation energy = -3.335 eV/f.u.
magnetization = 0.00 μB/atom
symmetry = C2/m

Cell: 4.9101 7.2284 8.3448 Å, 108.19 107.11 90.00°
Closest atoms and distances in Å follow each position.
Sites, in units of the cell vectors:
Tb1 0.5000 0.0000 0.0000  12 Hg 3.08-3.38
Er1 0.7837 0.3447 0.5673  10 Hg 3.09-3.32
Er2 0.2163 0.6553 0.4327  10 Hg 3.09-3.32
Hg1 0.4021 0.5423 0.8043  6 Hg 3.05-3.39, 3 Er 3.14-3.32, 1 Tb 3.16
Hg2 0.6743 0.9039 0.3486  8 Hg 3.05-3.41, 1 Tb 3.08, 3 Er 3.09-3.24
Hg3 0.8509 0.8116 0.7018  7 Hg 3.10-3.39, 3 Er 3.19-3.21, 2 Tb 3.38
Hg4 0.9683 0.2690 0.9366  7 Hg 3.12-3.30, 1 Er 3.17, 2 Tb 3.27
Hg5 0.1491 0.1884 0.2982  7 Hg 3.10-3.39, 3 Er 3.19-3.21, 2 Tb 3.38
Hg6 0.3257 0.0961 0.6514  8 Hg 3.05-3.41, 1 Tb 3.08, 3 Er 3.09-3.24
Hg7 0.5979 0.4577 0.1957  6 Hg 3.05-3.39, 3 Er 3.14-3.32, 1 Tb 3.16
Hg8 0.0317 0.7310 0.0634  7 Hg 3.12-3.30, 1 Er 3.17, 2 Tb 3.27